Entry from the Alexandria database: crystalline CaCu2SiPd at its relaxed geometry (PBE-GGA).

Values from the calculation:
Symmetry   Imm2 (44)
Total DFT energy (no corrections)   -4.560 eV/atom
Crystal system   orthorhombic

Cell lengths 3.9989, 4.0989, 5.9438 Å; angles 110.17, 109.66, 90.00 degrees
With the nearest neighbours (Å) after each atom.
Sites, in units of the cell vectors:
Cu 0.7005 0.2005 0.4010  2 Si 2.41, 2 Cu 2.57
Cu 0.0461 0.0461 0.0923  1 Si 2.33, 2 Cu 2.57, 2 Pd 2.59
Si 0.8228 0.8228 0.6455  3 Cu 2.33-2.41, 2 Pd 2.39
Ca 0.4451 0.4451 0.8902  8 Cu 3.05-3.36, 4 Si 3.13, 4 Pd 3.29-3.30
Pd 0.1977 0.6977 0.3953  2 Si 2.39, 2 Cu 2.59